# 1
! AgRh2Br, PBEsol geometry, DFT SCAN; values from VASP
&SYSTEM
  ibrav = 0, nat = 16, ntyp = 3
/
ATOMIC_SPECIES
Ag 107.87 Ag.upf
Rh 102.91 Rh.upf
Br 79.90 Br.upf
CELL_PARAMETERS angstrom
6.3634 0.0000 0.0000
0.0000 6.3634 0.0000
0.0000 0.0000 6.3634
ATOMIC_POSITIONS crystal
Ag 0.0000 0.0000 0.0000
Ag 0.0000 0.5000 0.5000
Ag 0.5000 0.0000 0.5000
Ag 0.5000 0.5000 0.0000
Rh 0.0000 0.0000 0.5000
Rh 0.0000 0.5000 0.0000
Rh 0.2500 0.2500 0.7500
Rh 0.2500 0.7500 0.2500
Rh 0.5000 0.0000 0.0000
Rh 0.5000 0.5000 0.5000
Rh 0.7500 0.2500 0.2500
Rh 0.7500 0.7500 0.7500
Br 0.2500 0.2500 0.2500
Br 0.2500 0.7500 0.7500
Br 0.7500 0.2500 0.7500
Br 0.7500 0.7500 0.2500
! - Energy relative to the elements, uncorrected: 0.728 eV per atom
! - Energy: -28.865 eV/atom


# 2
! FeSbSeI2, PBEsol geometry, DFT SCAN; values from VASP
&SYSTEM
  ibrav = 0, nat = 5, ntyp = 4
/
ATOMIC_SPECIES
Fe 55.84 Fe.upf
Sb 121.76 Sb.upf
Se 78.96 Se.upf
I 126.90 I.upf
CELL_PARAMETERS angstrom
4.9926 0.0000 0.0000
0.0000 4.9926 0.0000
0.0000 0.0000 5.1536
ATOMIC_POSITIONS crystal
Fe 0.0000 0.0000 0.0000
Sb 0.0000 0.0000 0.5000
Se 0.5000 0.5000 0.5000
I 0.0000 0.5000 0.0000
I 0.5000 0.0000 0.0000
! - Energy relative to the elements, uncorrected: 0.559 eV per atom
! - Energy: -29.232 eV/atom


The records above give, respectively, total magnetic moment values of 8.79; 2.54 μB/cell.